NaMnGa4O8: relaxed, PBE with a Hubbard U.

It has space group R3m (No. 160, hexagonal axes), with a = 6.0300 Å, b = 6.0300 Å, c = 14.6355 Å, α = 90.00°, β = 90.00° and γ = 120.00°. The distinct sites, in fractional coordinates, are Na at (0.0000, 0.0000, 0.0000), Mn at (0.0000, 0.0000, 0.6268), Ga at (0.0000, 0.0000, 0.2481), Ga at (0.1733, 0.3466, 0.4553), O at (0.0000, 0.0000, 0.3815), O at (0.0000, 0.0000, 0.8580), O at (0.0464, 0.5232, 0.3762) and O at (0.1761, 0.3523, 0.2033).

For the total energy, the calculation gives -251.4 eV per cell.